Here is Na3CrTe after structural relaxation from Alexandria. Energies are from GGA-PBE.

Unit cell a=5.886 b=5.886 c=5.886 alpha=90.00 beta=90.00 gamma=90.00
Each line ends with the local moment (μB).
Fractional positions:
1 Na 0.000 0.500 0.000  0.00
2 Na 0.000 0.000 0.500  0.00
3 Na 0.500 0.000 0.000  0.00
4 Te 0.000 0.000 0.000  0.00
5 Cr 0.500 0.500 0.500  4.29

Calculated values
ΔE to the lowest computed polymorph ... 0 meV per atom
Density ... 2.0 g/cm3
Space-group type ... Pm-3m, No. 221
Uncorrected formation energy ... 17.0 kJ/mol of atoms